This record from Alexandria via LeMat-Bulk describes PbCl3 after structural relaxation. The functional is PBE-GGA.

## Properties
Final energy = -34.44 eV for the cell shown
Formation energy without anion corrections = -215 kJ/mol of formula units

a = 4.5281 Å, b = 4.5281 Å, c = 25.3832 Å
α = 90.00°, β = 90.00°, γ = 120.00°
Space group R-3m (No. 166, hexagonal axes)
Inequivalent atoms, fractional coordinates:
Pb 0.0000 0.0000 0.0000 [3 per cell]
Cl 0.0000 0.0000 0.3872 [6 per cell]
Cl 0.0000 0.0000 0.5000 [3 per cell]